This record from Alexandria via LeMat-Bulk describes a relaxed Ca3Np3NbN8 crystal. The functional is PBE-GGA.

As for the total moment: 0.534 μB per atom. The calculated total energy comes out at -9.20 eV/atom.

The space group is R-3m (No. 166, hexagonal axes) and the conventional cell measures 6.7789, 6.7789 and 17.0351 Å, with angles of 90.00, 90.00 and 120.00 degrees. The asymmetric unit holds Ca at (0.0000, 0.5000, 0.0000), Np at (0.0000, 0.5000, 0.5000), Nb at (0.0000, 0.0000, 0.5000), N at (0.0000, 0.0000, 0.2414) and N at (0.0168, 0.5084, 0.2320).